(1)
! LaBi3Au8 | Alexandria | PBE | relaxed; values from VASP
&SYSTEM
  ibrav = 0, nat = 12, ntyp = 3
/
ATOMIC_SPECIES
La 138.91 La.upf
Bi 208.98 Bi.upf
Au 196.97 Au.upf
ATOMIC_POSITIONS angstrom
La 0.000 0.000 0.000
Bi 0.000 0.000 3.666
Bi 0.000 0.000 14.167
Bi 0.000 0.000 17.653
Au -1.435 -0.828 11.244
Au 0.000 -1.659 6.532
Au -1.437 0.830 6.532
Au 0.000 0.000 8.900
Au 1.435 -0.828 11.244
Au 0.000 1.657 11.244
Au 1.437 0.830 6.532
Au 0.000 0.000 23.094
CELL_PARAMETERS angstrom
2.862 1.652 9.475
-2.862 1.652 9.475
0.000 -3.304 9.475
! Formation energy from the elements = -0.262 eV/atom

(2)
! La2Bi4Au | Alexandria | PBE | relaxed; values from VASP
&SYSTEM
  ibrav = 0, nat = 7, ntyp = 3
/
ATOMIC_SPECIES
La 138.91 La.upf
Bi 208.98 Bi.upf
Au 196.97 Au.upf
ATOMIC_POSITIONS angstrom
La 0.000 0.000 2.043
La 0.000 0.000 14.037
Bi 2.794 0.000 0.000
Bi 0.000 0.000 5.270
Bi 0.000 2.794 0.000
Bi 0.000 0.000 10.811
Au 0.000 0.000 8.040
CELL_PARAMETERS angstrom
-2.794 2.794 8.040
2.794 -2.794 8.040
2.794 2.794 -8.040
! Formation energy from the elements = -0.268 eV/atom

(3)
! La3BiAu | Alexandria | PBE | relaxed; values from VASP
&SYSTEM
  ibrav = 0, nat = 5, ntyp = 3
/
ATOMIC_SPECIES
La 138.91 La.upf
Bi 208.98 Bi.upf
Au 196.97 Au.upf
ATOMIC_POSITIONS angstrom
La 0.000 0.000 2.889
La 0.000 2.889 0.000
La 2.889 0.000 0.000
Bi 2.889 2.889 2.889
Au 0.000 0.000 0.000
CELL_PARAMETERS angstrom
5.778 0.000 0.000
0.000 5.778 0.000
0.000 0.000 5.778
! Formation energy from the elements = -0.385 eV/atom
! Distance to the lowest polymorph of the same formula = 0.0 kJ per mole of atoms

(4)
! LaBiAu | Alexandria | PBE | relaxed; values from VASP
&SYSTEM
  ibrav = 0, nat = 3, ntyp = 3
/
ATOMIC_SPECIES
La 138.91 La.upf
Bi 208.98 Bi.upf
Au 196.97 Au.upf
ATOMIC_POSITIONS angstrom
La 0.000 0.000 0.000
Bi 0.000 0.000 3.262
Au 0.000 0.000 6.252
CELL_PARAMETERS angstrom
-2.161 2.161 4.694
2.161 -2.161 4.694
2.161 2.161 -4.694
! Formation energy from the elements = -0.583 eV/atom

(5)
! LaBi2Au2 | Alexandria | PBE | relaxed; values from VASP
&SYSTEM
  ibrav = 0, nat = 10, ntyp = 3
/
ATOMIC_SPECIES
La 138.91 La.upf
Bi 208.98 Bi.upf
Au 196.97 Au.upf
ATOMIC_POSITIONS angstrom
La 0.000 0.000 0.000
La 4.265 4.265 0.000
Bi 1.195 3.070 0.000
Bi 3.070 7.335 0.000
Bi 5.460 1.195 0.000
Bi 7.335 5.460 0.000
Au 1.372 5.637 1.830
Au 2.893 1.372 1.830
Au 5.637 7.158 1.830
Au 7.158 2.893 1.830
CELL_PARAMETERS angstrom
8.530 0.000 0.000
0.000 8.530 0.000
0.000 0.000 3.661
! Formation energy from the elements = -0.285 eV/atom
! Distance to the lowest polymorph of the same formula = 20.1 kJ per mole of atoms

(6)
! La2BiAu4 | Alexandria | PBE | relaxed; values from VASP
&SYSTEM
  ibrav = 0, nat = 7, ntyp = 3
/
ATOMIC_SPECIES
La 138.91 La.upf
Bi 208.98 Bi.upf
Au 196.97 Au.upf
ATOMIC_POSITIONS angstrom
La 0.000 0.000 6.641
La 0.000 0.000 20.043
Bi 0.000 0.000 0.000
Au 0.000 0.000 3.579
Au 0.000 0.000 10.052
Au 0.000 0.000 16.632
Au 0.000 0.000 23.105
CELL_PARAMETERS angstrom
2.501 1.444 8.895
-2.501 1.444 8.895
0.000 -2.888 8.895
! Formation energy from the elements = -0.614 eV/atom

(7)
! LaBi2Au9 | Alexandria | PBE | relaxed; values from VASP
&SYSTEM
  ibrav = 0, nat = 12, ntyp = 3
/
ATOMIC_SPECIES
La 138.91 La.upf
Bi 208.98 Bi.upf
Au 196.97 Au.upf
ATOMIC_POSITIONS angstrom
La 0.000 0.000 0.000
Bi 0.000 0.000 4.165
Bi 0.000 0.000 24.239
Au -1.424 -0.822 11.823
Au 0.000 0.000 9.463
Au 0.000 -1.645 16.581
Au -1.424 0.822 16.581
Au 0.000 0.000 14.202
Au 1.424 -0.822 11.823
Au 0.000 1.645 11.823
Au 0.000 0.000 18.941
Au 1.424 0.822 16.581
CELL_PARAMETERS angstrom
2.830 1.634 9.468
-2.830 1.634 9.468
0.000 -3.268 9.468
! Formation energy from the elements = -0.258 eV/atom

(8)
! La3Bi4Au3 | Alexandria | PBE | relaxed; values from VASP
&SYSTEM
  ibrav = 0, nat = 20, ntyp = 3
/
ATOMIC_SPECIES
La 138.91 La.upf
Bi 208.98 Bi.upf
Au 196.97 Au.upf
ATOMIC_POSITIONS angstrom
La 5.220 -2.610 3.915
La 3.915 5.220 -2.610
La 5.220 2.610 1.305
La 2.610 1.305 5.220
La 1.305 5.220 2.610
La -2.610 3.915 5.220
Bi 3.534 1.686 -1.686
Bi 6.144 -0.924 0.924
Bi 1.686 -1.686 3.534
Bi 1.686 1.686 1.686
Bi -1.686 3.534 1.686
Bi 0.924 6.144 -0.924
Bi -0.924 0.924 6.144
Bi 4.296 4.296 4.296
Au 7.830 1.305 0.000
Au 3.915 0.000 2.610
Au 2.610 3.915 0.000
Au 0.000 2.610 3.915
Au 1.305 0.000 7.830
Au 0.000 7.830 1.305
CELL_PARAMETERS angstrom
-5.220 5.220 5.220
5.220 -5.220 5.220
5.220 5.220 -5.220
! Formation energy from the elements = -0.829 eV/atom

(9)
! LaBiAu4 | Alexandria | PBE | relaxed; values from VASP
&SYSTEM
  ibrav = 0, nat = 6, ntyp = 3
/
ATOMIC_SPECIES
La 138.91 La.upf
Bi 208.98 Bi.upf
Au 196.97 Au.upf
ATOMIC_POSITIONS angstrom
La 0.000 0.000 0.000
Bi 6.118 6.118 6.118
Au 3.058 3.058 3.058
Au 5.099 5.099 3.058
Au 5.099 3.058 5.099
Au 3.058 5.099 5.099
CELL_PARAMETERS angstrom
0.000 4.079 4.079
4.079 0.000 4.079
4.079 4.079 0.000
! Formation energy from the elements = -0.485 eV/atom

(10)
! LaBiAu | Alexandria | PBE | relaxed; values from VASP
&SYSTEM
  ibrav = 0, nat = 6, ntyp = 3
/
ATOMIC_SPECIES
La 138.91 La.upf
Bi 208.98 Bi.upf
Au 196.97 Au.upf
ATOMIC_POSITIONS angstrom
La 0.000 0.000 2.751
La 0.000 0.000 14.131
Bi 0.000 0.000 6.138
Bi 0.000 0.000 10.744
Au 0.000 1.333 0.000
Au 0.000 3.943 0.000
CELL_PARAMETERS angstrom
-2.130 2.638 8.441
2.130 -2.638 8.441
2.130 2.638 -8.441
! Formation energy from the elements = -0.545 eV/atom

(11)
! LaBi2Au | Alexandria | PBE | relaxed; values from VASP
&SYSTEM
  ibrav = 0, nat = 4, ntyp = 3
/
ATOMIC_SPECIES
La 138.91 La.upf
Bi 208.98 Bi.upf
Au 196.97 Au.upf
ATOMIC_POSITIONS angstrom
La 0.000 0.000 0.000
Bi 0.000 2.457 2.314
Bi 2.457 0.000 2.314
Au 2.457 2.457 0.000
CELL_PARAMETERS angstrom
4.915 0.000 0.000
0.000 4.915 0.000
0.000 0.000 4.627
! Formation energy from the elements = -0.576 eV/atom

(12)
! LaBiAu | Alexandria | PBE | relaxed; values from VASP
&SYSTEM
  ibrav = 0, nat = 6, ntyp = 3
/
ATOMIC_SPECIES
La 138.91 La.upf
Bi 208.98 Bi.upf
Au 196.97 Au.upf
ATOMIC_POSITIONS angstrom
La 2.425 5.597 3.634
La 2.425 -5.597 1.211
Bi 2.425 1.328 3.634
Bi 2.425 -1.328 1.211
Au 2.425 3.605 1.211
Au 2.425 -3.605 3.634
CELL_PARAMETERS angstrom
2.425 -7.314 0.000
2.425 7.314 0.000
0.000 0.000 4.845
! Formation energy from the elements = -0.748 eV/atom

(13)
! LiLaBiAu | Alexandria | PBE | relaxed; values from VASP
&SYSTEM
  ibrav = 0, nat = 4, ntyp = 4
/
ATOMIC_SPECIES
Li 6.94 Li.upf
La 138.91 La.upf
Bi 208.98 Bi.upf
Au 196.97 Au.upf
ATOMIC_POSITIONS angstrom
Li 0.000 0.000 0.000
La 3.745 3.745 3.745
Bi 1.873 1.873 1.873
Au 5.618 5.618 5.618
CELL_PARAMETERS angstrom
0.000 3.745 3.745
3.745 0.000 3.745
3.745 3.745 0.000
! Formation energy from the elements = -0.704 eV/atom

(14)
! LaMgBiAu | Alexandria | PBE | relaxed; values from VASP
&SYSTEM
  ibrav = 0, nat = 4, ntyp = 4
/
ATOMIC_SPECIES
La 138.91 La.upf
Mg 24.30 Mg.upf
Bi 208.98 Bi.upf
Au 196.97 Au.upf
ATOMIC_POSITIONS angstrom
La 0.000 0.000 0.000
Mg 3.767 3.767 3.767
Bi 5.650 5.650 5.650
Au 1.883 1.883 1.883
CELL_PARAMETERS angstrom
0.000 3.767 3.767
3.767 0.000 3.767
3.767 3.767 0.000
! Formation energy from the elements = -0.574 eV/atom

(15)
! LaNb2BiAu | Alexandria | PBE | relaxed; values from VASP
&SYSTEM
  ibrav = 0, nat = 5, ntyp = 4
/
ATOMIC_SPECIES
La 138.91 La.upf
Nb 92.91 Nb.upf
Bi 208.98 Bi.upf
Au 196.97 Au.upf
ATOMIC_POSITIONS angstrom
La 0.000 0.000 0.000
Nb 0.000 2.486 0.000
Nb 2.486 0.000 0.000
Bi 2.486 2.486 2.796
Au 0.000 0.000 2.796
CELL_PARAMETERS angstrom
4.971 0.000 0.000
0.000 4.971 0.000
0.000 0.000 5.592
! Formation energy from the elements = 1.516 eV/atom

(16)
! LaPaBiAu | Alexandria | PBE | relaxed; values from VASP
&SYSTEM
  ibrav = 0, nat = 4, ntyp = 4
/
ATOMIC_SPECIES
La 138.91 La.upf
Pa 231.04 Pa.upf
Bi 208.98 Bi.upf
Au 196.97 Au.upf
ATOMIC_POSITIONS angstrom
La 0.000 0.000 0.000
Pa 3.840 3.840 3.840
Bi 1.920 1.920 1.920
Au 5.760 5.760 5.760
CELL_PARAMETERS angstrom
0.000 3.840 3.840
3.840 0.000 3.840
3.840 3.840 0.000
! Formation energy from the elements = -0.308 eV/atom

(17)
! LaPmBiAu | Alexandria | PBE | relaxed; values from VASP
&SYSTEM
  ibrav = 0, nat = 4, ntyp = 4
/
ATOMIC_SPECIES
La 138.91 La.upf
Pm 145.00 Pm.upf
Bi 208.98 Bi.upf
Au 196.97 Au.upf
ATOMIC_POSITIONS angstrom
La 0.000 0.000 0.000
Pm 3.868 3.868 3.868
Bi 1.934 1.934 1.934
Au 5.803 5.803 5.803
CELL_PARAMETERS angstrom
0.000 3.868 3.868
3.868 0.000 3.868
3.868 3.868 0.000
! Formation energy from the elements = -0.733 eV/atom

(18)
! LaBiPtAu | Alexandria | PBE | relaxed; values from VASP
&SYSTEM
  ibrav = 0, nat = 4, ntyp = 4
/
ATOMIC_SPECIES
La 138.91 La.upf
Bi 208.98 Bi.upf
Pt 195.08 Pt.upf
Au 196.97 Au.upf
ATOMIC_POSITIONS angstrom
La 0.000 0.000 0.000
Bi 3.633 3.633 3.633
Pt 5.450 5.450 5.450
Au 1.817 1.817 1.817
CELL_PARAMETERS angstrom
0.000 3.633 3.633
3.633 0.000 3.633
3.633 3.633 0.000
! Formation energy from the elements = -0.687 eV/atom

(19)
! LaBi2PtAu | Alexandria | PBE | relaxed; values from VASP
&SYSTEM
  ibrav = 0, nat = 5, ntyp = 4
/
ATOMIC_SPECIES
La 138.91 La.upf
Bi 208.98 Bi.upf
Pt 195.08 Pt.upf
Au 196.97 Au.upf
ATOMIC_POSITIONS angstrom
La 0.000 0.000 0.000
Bi 0.000 3.064 0.000
Bi 3.064 0.000 0.000
Pt 3.064 3.064 2.703
Au 0.000 0.000 2.703
CELL_PARAMETERS angstrom
6.128 0.000 0.000
0.000 6.128 0.000
0.000 0.000 5.406
! Formation energy from the elements = 1.090 eV/atom

(20)
! LaPuBiAu | Alexandria | PBE | relaxed; values from VASP
&SYSTEM
  ibrav = 0, nat = 4, ntyp = 4
/
ATOMIC_SPECIES
La 138.91 La.upf
Pu 244.00 Pu.upf
Bi 208.98 Bi.upf
Au 196.97 Au.upf
ATOMIC_POSITIONS angstrom
La 0.000 0.000 0.000
Pu 3.854 3.854 3.854
Bi 5.781 5.781 5.781
Au 1.927 1.927 1.927
CELL_PARAMETERS angstrom
0.000 3.854 3.854
3.854 0.000 3.854
3.854 3.854 0.000
! Formation energy from the elements = -0.572 eV/atom

(21)
! LaReBiAu2 | Alexandria | PBE | relaxed; values from VASP
&SYSTEM
  ibrav = 0, nat = 5, ntyp = 4
/
ATOMIC_SPECIES
La 138.91 La.upf
Re 186.21 Re.upf
Bi 208.98 Bi.upf
Au 196.97 Au.upf
ATOMIC_POSITIONS angstrom
La 0.000 0.000 0.000
Re 2.579 2.579 2.579
Bi 2.579 2.579 0.000
Au 0.000 2.579 2.579
Au 2.579 0.000 2.579
CELL_PARAMETERS angstrom
5.158 0.000 0.000
0.000 5.158 0.000
0.000 0.000 5.157
! Formation energy from the elements = 0.292 eV/atom

(22)
! LaBiAuS | Alexandria | PBE | relaxed; values from VASP
&SYSTEM
  ibrav = 0, nat = 8, ntyp = 4
/
ATOMIC_SPECIES
La 138.91 La.upf
Bi 208.98 Bi.upf
Au 196.97 Au.upf
S 32.06 S.upf
ATOMIC_POSITIONS angstrom
La 0.000 0.000 3.953
La 0.000 0.000 30.748
Bi 0.000 0.000 10.219
Bi 0.000 0.000 24.482
Au 0.000 0.000 13.400
Au 0.000 0.000 21.301
S 0.000 0.000 6.853
S 0.000 0.000 27.849
CELL_PARAMETERS angstrom
2.395 1.383 11.567
-2.395 1.383 11.567
0.000 -2.765 11.567
! Formation energy without anion corrections = -1.067 eV/atom

(23)
! LaSmBiAu | Alexandria | PBE | relaxed; values from VASP
&SYSTEM
  ibrav = 0, nat = 4, ntyp = 4
/
ATOMIC_SPECIES
La 138.91 La.upf
Sm 150.36 Sm.upf
Bi 208.98 Bi.upf
Au 196.97 Au.upf
ATOMIC_POSITIONS angstrom
La 0.000 0.000 0.000
Sm 3.860 3.860 3.860
Bi 5.790 5.790 5.790
Au 1.930 1.930 1.930
CELL_PARAMETERS angstrom
0.000 3.860 3.860
3.860 0.000 3.860
3.860 3.860 0.000
! Formation energy from the elements = -0.725 eV/atom

(24)
! SrLaBiAu | Alexandria | PBE | relaxed; values from VASP
&SYSTEM
  ibrav = 0, nat = 4, ntyp = 4
/
ATOMIC_SPECIES
Sr 87.62 Sr.upf
La 138.91 La.upf
Bi 208.98 Bi.upf
Au 196.97 Au.upf
ATOMIC_POSITIONS angstrom
Sr 0.000 0.000 0.000
La 3.957 3.957 3.957
Bi 1.978 1.978 1.978
Au 5.935 5.935 5.935
CELL_PARAMETERS angstrom
0.000 3.957 3.957
3.957 0.000 3.957
3.957 3.957 0.000
! Formation energy from the elements = -0.770 eV/atom

(25)
! LaTlBiAu | Alexandria | PBE | relaxed; values from VASP
&SYSTEM
  ibrav = 0, nat = 4, ntyp = 4
/
ATOMIC_SPECIES
La 138.91 La.upf
Tl 204.38 Tl.upf
Bi 208.98 Bi.upf
Au 196.97 Au.upf
ATOMIC_POSITIONS angstrom
La 0.000 0.000 0.000
Tl 3.883 3.883 3.883
Bi 5.824 5.824 5.824
Au 1.941 1.941 1.941
CELL_PARAMETERS angstrom
0.000 3.883 3.883
3.883 0.000 3.883
3.883 3.883 0.000
! Formation energy from the elements = -0.447 eV/atom

(26)
! LiBi5Au4 | Alexandria | PBE | relaxed; values from VASP
&SYSTEM
  ibrav = 0, nat = 10, ntyp = 3
/
ATOMIC_SPECIES
Li 6.94 Li.upf
Bi 208.98 Bi.upf
Au 196.97 Au.upf
ATOMIC_POSITIONS angstrom
Li 0.000 0.000 0.000
Bi -0.810 0.000 3.465
Bi 4.824 0.000 3.080
Bi 4.095 0.000 6.727
Bi 10.951 0.000 0.202
Bi 10.221 0.000 3.849
Au 1.958 0.000 1.938
Au 6.950 0.000 5.461
Au 8.095 0.000 1.468
Au 13.087 0.000 4.991
CELL_PARAMETERS angstrom
8.333 -2.259 0.000
8.333 2.259 0.000
-1.620 0.000 6.929
! Formation energy from the elements = -0.103 eV/atom

| no. | calculated total energy (eV per atom) | magnetic moment (μB per cell) |
| --- | --- | --- |
| 1 | -3.8281 | 0.00 |
| 2 | -4.3615 | 0.00 |
| 3 | -4.7728 | 0.00 |
| 4 | -4.6119 | 0.00 |
| 5 | -4.1333 | 0.00 |
| 6 | -4.4488 | 0.00 |
| 7 | -3.7739 | 0.00 |
| 8 | -4.8431 | 0.00 |
| 9 | -4.1375 | 0.00 |
| 10 | -4.5731 | 0.00 |
| 11 | -4.5679 | 0.00 |
| 12 | -4.7765 | 0.00 |
| 13 | -4.2042 | 0.00 |
| 14 | -3.9938 | 0.00 |
| 15 | -4.9291 | 0.00 |
| 16 | -5.7035 | 3.21 |
| 17 | -4.9421 | 0.00 |
| 18 | -5.2183 | 0.00 |
| 19 | -3.3114 | 0.00 |
| 20 | -7.1760 | 6.98 |
| 21 | -5.2699 | 0.68 |
| 22 | -5.1204 | 0.00 |
| 23 | -4.9264 | 0.01 |
| 24 | -4.2116 | 0.00 |
| 25 | -4.0602 | 0.00 |
| 26 | -3.5461 | 0.00 |